1.
A plane-wave DFT calculation with PBE-GGA was carried out for CuBSe2 after structural relaxation.

abc: 4.9703 4.9703 9.8405
angles: 90.00 90.00 90.00
Closest atoms and distances in Å follow each position.
Space group I4_1/amd (No. 141, origin choice 2)
One atom of each set of equivalent atoms:
Cu 0.0000 0.2500 0.3750  6 Se 2.50-2.72
B 0.0000 0.2500 0.8750  2 Se 2.20
Se 0.0000 0.2500 0.0990  1 B 2.20

Calculated values
Density ... 6.3 g/cm³
ΔE_f (raw) ... 0.435 eV per atom
E ... -16.00 eV per formula unit
Magnetization ... 0.00 μB/f.u.

=====

2.
A plane-wave DFT calculation with PBE-GGA was carried out for YTlRh2 after structural relaxation.

abc: 4.0045 4.0045 9.4282
angles: 90.00 90.00 90.00
Closest atoms and distances in Å follow each position.
Space group I-4m2 (No. 119)
One atom of each set of equivalent atoms:
Y 0.0000 0.0000 0.0000  8 Rh 2.83-3.09, 4 Tl 3.09
Tl 0.0000 0.5000 0.7500  8 Rh 2.83-3.09, 4 Y 3.09
Rh 0.0000 0.0000 0.5000  4 Y 2.83, 4 Tl 3.09, 4 Rh 3.09
Rh 0.0000 0.5000 0.2500  4 Tl 2.83, 4 Rh 3.09, 4 Y 3.09

Calculated values
Density ... 11.0 g/cm³
Energy of formation ... -1.72 eV per formula unit
E ... -25.25 eV per formula unit
Magnetization ... 0.00 μB/f.u.